Version one
A geometry-optimized LiSc2F structure, computed with PBE.

a = 6.970 Å, b = 6.970 Å, c = 6.550 Å
α = 90.00°, β = 90.00°, γ = 90.00°
Element x y z (fractional)
Li1 0.000 0.000 0.000
Li2 0.000 0.500 0.250
Li3 0.500 0.000 0.750
Li4 0.500 0.500 0.500
Sc1 0.146 0.250 0.625
Sc2 0.250 0.646 0.875
Sc3 0.250 0.854 0.375
Sc4 0.354 0.250 0.125
Sc5 0.646 0.750 0.125
Sc6 0.750 0.146 0.375
Sc7 0.750 0.354 0.875
Sc8 0.854 0.750 0.625
F1 0.000 0.000 0.500
F2 0.000 0.500 0.750
F3 0.500 0.000 0.250
F4 0.500 0.500 0.000

## Properties
- spin magnetization (μB per cell) = 5.5
- SG = I-42d
- calculated density (g/cm³) = 2.4
- density of states at the Fermi level (states/eV/cell) = 15.970

Version two
A geometry-optimized LiSc2F structure, computed with PBE.

a = 3.070 Å, b = 3.070 Å, c = 28.016 Å
α = 90.00°, β = 90.00°, γ = 120.00°
Element x y z (fractional)
Li1 0.000 0.000 0.000
Li2 0.333 0.667 0.667
Li3 0.667 0.333 0.333
Sc1 0.000 0.000 0.104
Sc2 0.000 0.000 0.896
Sc3 0.333 0.667 0.562
Sc4 0.333 0.667 0.771
Sc5 0.667 0.333 0.229
Sc6 0.667 0.333 0.438
F1 0.000 0.000 0.500
F2 0.333 0.667 0.167
F3 0.667 0.333 0.833

## Properties
- spin magnetization (μB per cell) = 0.0
- SG = R-3m
- calculated density (g/cm³) = 2.5
- density of states at the Fermi level (states/eV/cell) = 14.920

Version three
A geometry-optimized LiSc2F structure, computed with PBE.

a = 6.683 Å, b = 6.683 Å, c = 6.683 Å
α = 90.00°, β = 90.00°, γ = 90.00°
Element x y z (fractional)
Li1 0.000 0.000 0.000
Li2 0.000 0.500 0.500
Li3 0.500 0.000 0.500
Li4 0.500 0.500 0.000
Sc1 0.250 0.250 0.250
Sc2 0.250 0.250 0.750
Sc3 0.250 0.750 0.250
Sc4 0.250 0.750 0.750
Sc5 0.750 0.250 0.250
Sc6 0.750 0.250 0.750
Sc7 0.750 0.750 0.250
Sc8 0.750 0.750 0.750
F1 0.000 0.000 0.500
F2 0.000 0.500 0.000
F3 0.500 0.000 0.000
F4 0.500 0.500 0.500

## Properties
- spin magnetization (μB per cell) = 6.0
- SG = Fm-3m
- calculated density (g/cm³) = 2.6
- density of states at the Fermi level (states/eV/cell) = 20.545

version one is preferred energetically. Next in line: 77 meV per atom higher.

Version one
A geometry-optimized LiSeF6 structure, computed with PBE.

a = 4.985 Å, b = 4.985 Å, c = 4.681 Å
α = 90.00°, β = 90.00°, γ = 120.00°
Element x y z (fractional)
Li1 0.000 0.000 0.000
Se1 0.667 0.333 0.500
F1 0.360 0.035 0.731
F2 0.360 0.325 0.269
F3 0.675 0.035 0.269
F4 0.675 0.640 0.731
F5 0.965 0.325 0.731
F6 0.965 0.640 0.269

## Properties
- spin magnetization (μB per cell) = 1.0
- SG = P312
- calculated density (g/cm³) = 3.3
- density of states at the Fermi level (states/eV/cell) = 1.772

Version two
A geometry-optimized LiSeF6 structure, computed with PBE.

a = 5.433 Å, b = 5.433 Å, c = 5.433 Å
α = 56.41°, β = 56.41°, γ = 56.41°
Element x y z (fractional)
Li1 0.000 0.000 0.000
Se1 0.500 0.500 0.500
F1 0.148 0.733 0.383
F2 0.267 0.617 0.852
F3 0.383 0.148 0.733
F4 0.617 0.852 0.267
F5 0.733 0.383 0.148
F6 0.852 0.267 0.617

## Properties
- spin magnetization (μB per cell) = 1.0
- SG = R-3
- calculated density (g/cm³) = 3.2
- density of states at the Fermi level (states/eV/cell) = 1.860

version two is preferred energetically. Next in line: 16 meV per atom higher.